Entry 1:
Ba2Mg3TlCd4: relaxed, PBE.

**Crystal system**: tetragonal
**Total energy**: -1.667 eV per atom
**Magnetization**: 0.00 μB per formula unit
**Energy of formation**: -0.202 eV/atom

The structure in POSCAR format:
```
Ba2Mg3TlCd4
1.0
4.9548 0.0000 0.0000
0.0000 4.9548 0.0000
0.0000 0.0000 12.2621
Ba Mg Tl Cd
2 3 1 4
direct
0.0000 0.5000 0.2482
0.5000 0.0000 0.7518
0.0000 0.5000 0.8752
0.5000 0.0000 0.1248
0.5000 0.5000 0.5000
0.0000 0.0000 0.5000
0.0000 0.0000 0.0000
0.0000 0.5000 0.6408
0.5000 0.0000 0.3592
0.5000 0.5000 0.0000
```

---

Entry 2:
Ba2Mg4Tl3Cd: relaxed, PBE.

**Crystal system**: tetragonal
**Total energy**: -2.052 eV per atom
**Magnetization**: 0.00 μB per formula unit
**Energy of formation**: -0.229 eV/atom

The structure in POSCAR format:
```
Ba2Mg4Tl3Cd
1.0
5.0625 0.0000 0.0000
0.0000 5.0625 0.0000
0.0000 0.0000 11.9108
Ba Mg Tl Cd
2 4 3 1
direct
0.0000 0.5000 0.2490
0.5000 0.0000 0.7510
0.0000 0.0000 0.5000
0.0000 0.5000 0.8743
0.5000 0.0000 0.1257
0.5000 0.5000 0.5000
0.0000 0.0000 0.0000
0.0000 0.5000 0.6333
0.5000 0.0000 0.3667
0.5000 0.5000 0.0000
```

---

Entry 3:
Ba2MgTl3Cd4: relaxed, PBE.

**Crystal system**: tetragonal
**Total energy**: -1.866 eV per atom
**Magnetization**: 0.00 μB per formula unit
**Energy of formation**: -0.246 eV/atom

The structure in POSCAR format:
```
Ba2MgTl3Cd4
1.0
4.9302 0.0000 0.0000
0.0000 4.9302 0.0000
0.0000 0.0000 12.6676
Ba Mg Tl Cd
2 1 3 4
direct
0.0000 0.5000 0.2450
0.5000 0.0000 0.7550
0.0000 0.0000 0.5000
0.0000 0.5000 0.8641
0.5000 0.0000 0.1359
0.5000 0.5000 0.5000
0.0000 0.0000 0.0000
0.0000 0.5000 0.6325
0.5000 0.0000 0.3675
0.5000 0.5000 0.0000
```

---

Entry 4:
BaMgTlCd2: relaxed, PBE.

**Crystal system**: tetragonal
**Total energy**: -1.788 eV per atom
**Magnetization**: 0.00 μB per formula unit
**Energy of formation**: -0.245 eV/atom

The structure in POSCAR format:
```
BaMgTlCd2
1.0
4.8338 0.0000 0.0000
0.0000 4.8338 0.0000
0.0000 0.0000 12.9628
Ba Mg Tl Cd
2 2 2 4
direct
0.0000 0.0000 0.0000
0.5000 0.5000 0.5000
0.0000 0.5000 0.2500
0.5000 0.0000 0.7500
0.0000 0.5000 0.7500
0.5000 0.0000 0.2500
0.0000 0.0000 0.3886
0.0000 0.0000 0.6114
0.5000 0.5000 0.1114
0.5000 0.5000 0.8886
```

---

Entry 5:
Ba3Mg2Tl4Cd2: relaxed, PBE.

**Crystal system**: trigonal
**Total energy**: -2.066 eV per atom
**Magnetization**: 0.00 μB per formula unit
**Energy of formation**: -0.224 eV/atom

The structure in POSCAR format:
```
Ba3Mg2Tl4Cd2
1.0
5.3623 0.0000 0.0000
-2.6811 4.6438 0.0000
0.0000 0.0000 14.9945
Ba Mg Tl Cd
3 2 4 2
direct
0.0000 0.0000 0.0000
0.0000 0.0000 0.2774
0.0000 0.0000 0.7226
0.3333 0.6667 0.5685
0.6667 0.3333 0.4315
0.3333 0.6667 0.3759
0.3333 0.6667 0.8610
0.6667 0.3333 0.1390
0.6667 0.3333 0.6241
0.3333 0.6667 0.1495
0.6667 0.3333 0.8505
```

---

Entry 6:
BaMgTl4Cd2: relaxed, PBE.

**Crystal system**: trigonal
**Total energy**: -2.004 eV per atom
**Magnetization**: 0.00 μB per formula unit
**Energy of formation**: -0.153 eV/atom

The structure in POSCAR format:
```
BaMgTl4Cd2
1.0
2.6265 1.5164 9.9234
-2.6265 1.5164 9.9234
0.0000 -3.0329 9.9234
Ba Mg Tl Cd
1 1 4 2
direct
0.0000 0.0000 0.0000
0.5000 0.5000 0.5000
0.1310 0.1310 0.1310
0.3959 0.3959 0.3959
0.6041 0.6041 0.6041
0.8690 0.8690 0.8690
0.2490 0.2490 0.2490
0.7510 0.7510 0.7510
```

---

Entry 7:
Ba2TmMg3Cd12: relaxed, PBE.

**Crystal system**: trigonal
**Total energy**: -1.374 eV per atom
**Magnetization**: 0.00 μB per formula unit
**Energy of formation**: -0.036 eV/atom

The structure in POSCAR format:
```
Ba2TmMg3Cd12
1.0
3.5202 2.0324 12.2264
-3.5202 2.0324 12.2264
0.0000 -4.0648 12.2264
Ba Tm Mg Cd
2 1 3 12
direct
0.1419 0.1419 0.1419
0.8581 0.8581 0.8581
0.5000 0.5000 0.5000
0.0000 0.5000 0.5000
0.5000 0.0000 0.5000
0.5000 0.5000 0.0000
0.0886 0.0886 0.6750
0.0886 0.6750 0.0886
0.1084 0.5987 0.5987
0.3250 0.9114 0.9114
0.4013 0.4013 0.8916
0.4013 0.8916 0.4013
0.5987 0.1084 0.5987
0.5987 0.5987 0.1084
0.6750 0.0886 0.0886
0.8916 0.4013 0.4013
0.9114 0.3250 0.9114
0.9114 0.9114 0.3250
```

---

Entry 8:
BaTmMgCd: relaxed, PBE.

**Crystal system**: cubic
**Total energy**: -2.268 eV per atom
**Magnetization**: 0.00 μB per formula unit
**Energy of formation**: -0.042 eV/atom

The structure in POSCAR format:
```
BaTmMgCd
1.0
7.9896 0.0000 0.0000
0.0000 7.9896 0.0000
0.0000 0.0000 7.9896
Ba Tm Mg Cd
4 4 4 4
direct
0.0000 0.0000 0.0000
0.0000 0.5000 0.5000
0.5000 0.0000 0.5000
0.5000 0.5000 0.0000
0.0000 0.0000 0.5000
0.0000 0.5000 0.0000
0.5000 0.0000 0.0000
0.5000 0.5000 0.5000
0.2500 0.2500 0.7500
0.2500 0.7500 0.2500
0.7500 0.2500 0.2500
0.7500 0.7500 0.7500
0.2500 0.2500 0.2500
0.2500 0.7500 0.7500
0.7500 0.2500 0.7500
0.7500 0.7500 0.2500
```

---

Q: Number 1 is which compound?
A: Ba2Mg3TlCd4